Entry from the Alexandria database: a geometry-optimized LiTb3Hg12 structure (PBE).

Unit cell a=4.5643 b=4.5643 c=18.4614 alpha=90.00 beta=90.00 gamma=90.00
Space group P4/mmm (No. 123)
Inequivalent atoms, fractional coordinates:
1 Li 0.0000 0.0000 0.0000
2 Tb 0.0000 0.0000 0.2387
3 Tb 0.0000 0.0000 0.5000
4 Hg 0.0000 0.5000 0.1174
5 Hg 0.0000 0.5000 0.3718
6 Hg 0.5000 0.5000 0.0000
7 Hg 0.5000 0.5000 0.2458
8 Hg 0.5000 0.5000 0.5000

Properties
* uncorrected energy: -1.5116 eV per atom
* energy of formation: -0.297 eV/atom

=====

Entry from the Alexandria database: a geometry-optimized Hf2ScPS structure (PBE).

Unit cell a=4.7054 b=4.7054 c=4.7080 alpha=90.00 beta=90.00 gamma=90.00
Space group P4/mmm (No. 123)
Inequivalent atoms, fractional coordinates:
1 Hf 0.0000 0.5000 0.0000
2 Sc 0.0000 0.0000 0.5000
3 P 0.5000 0.5000 0.5000
4 S 0.0000 0.0000 0.0000

Properties
* uncorrected energy: -7.3653 eV per atom

=====

Entry from the Alexandria database: a geometry-optimized MgAgMo2 structure (PBE).

Unit cell a=2.8161 b=2.8161 c=29.5993 alpha=90.00 beta=90.00 gamma=120.00
Space group R-3m (No. 166, hexagonal axes)
Inequivalent atoms, fractional coordinates:
1 Mg 0.0000 0.0000 0.0000
2 Ag 0.0000 0.0000 0.5000
3 Mo 0.0000 0.0000 0.2497

Properties
* uncorrected energy: -5.9971 eV per atom
* energy of formation: 0.530 eV/atom

=====

Entry from the Alexandria database: a geometry-optimized Hf7Hg2C2 structure (PBE).

Unit cell a=6.8795 b=9.9933 c=7.4693 alpha=90.00 beta=99.87 gamma=90.00
Space group C2/m (No. 12)
Inequivalent atoms, fractional coordinates:
1 Hf 0.0000 0.0000 0.0000
2 Hf 0.0952 0.5000 0.8191
3 Hf 0.2007 0.2887 0.1760
4 Hg 0.0000 0.2983 0.5000
5 C 0.2130 0.5000 0.1179

Properties
* uncorrected energy: -7.9785 eV per atom
* energy of formation: 0.087 eV/atom

=====

Entry from the Alexandria database: a geometry-optimized Th3AgC structure (PBE).

Unit cell a=3.7501 b=10.2776 c=6.7489 alpha=90.00 beta=106.10 gamma=90.00
Space group P2_1/m (No. 11)
Inequivalent atoms, fractional coordinates:
1 Th 0.0489 0.2500 0.0985
2 Th 0.3713 0.0469 0.7438
3 Ag 0.2491 0.7500 0.4972
4 C 0.0000 0.0000 0.0000

Properties
* uncorrected energy: -7.0708 eV per atom
* energy of formation: -0.204 eV/atom
* offset from the most stable computed form: 0.000 eV per atom